No. 1
Compound: RbV2SiH
Source: the Alexandria database
Functional: PBE
Structure: optimized geometry

Output
E, Ry per atom: -0.1935
ρ, Mg/m³: 1.99
Size of the total moment, μB per formula unit: 6.98
Volume, A^3/atom: 36.10
Space-group type: No. 123

```
RbV2SiH
1.0
-5.3738 -1.3117 1.3398
1.6828 -4.9646 1.8891
0.7491 2.2265 5.1841
H Rb V Si
1 1 2 1
Direct
0.5000 0.5000 0.5000
0.0000 0.0000 0.0000
0.0000 0.0000 0.5000
0.5000 0.0000 0.0000
0.0000 0.5000 0.0000
```

No. 2
Compound: YAl3N
Source: the Alexandria database
Functional: PBE
Structure: optimized geometry

Output
E, Ry per atom: -0.2154
ρ, Mg/m³: 1.78
Offset from the most stable computed form, eV/atom: 2.231
Size of the total moment, μB per formula unit: 0.00
Volume, A^3/atom: 34.31
Space-group type: No. 221

```
YAl3N
1.0
-1.1919 -4.7341 -2.6532
0.8232 -2.8428 4.7024
-5.3641 0.6157 1.3112
Y N Al
1 1 3
Direct
0.0000 0.0000 0.0000
0.5000 0.5000 0.5000
0.5000 0.0000 0.0000
0.0000 0.5000 0.0000
0.0000 0.0000 0.5000
```

No. 3
Compound: Sm3Dy6Ho2
Source: the Alexandria database
Functional: PBE
Structure: optimized geometry

Output
E, Ry per atom: -0.3390
ρ, Mg/m³: 8.32
Offset from the most stable computed form, eV/atom: 0.000
Size of the total moment, μB per formula unit: 0.00
Volume, A^3/atom: 31.86
Space-group type: No. 166
Calculated formation energy, eV per atom: 0.017

```
Sm3Dy6Ho2
1.0
0.0303 3.2027 -1.5591
-2.6760 2.2820 0.5664
14.7096 13.8878 24.7440
Dy Ho Sm
6 2 3
Direct
0.1817 0.1817 0.4548
0.3639 0.3639 0.9084
0.6361 0.6361 0.0916
0.8183 0.8183 0.5452
0.0917 0.0917 0.7248
0.9083 0.9083 0.2752
0.4550 0.4550 0.6350
0.5450 0.5450 0.3650
0.7277 0.7277 0.8168
0.2723 0.2723 0.1832
0.0000 0.0000 0.0000
```

No. 4
Compound: CsRbTcBr6
Source: the Alexandria database
Functional: PBE
Structure: optimized geometry

Output
E, Ry per atom: -0.2561
ρ, Mg/m³: 3.24
Size of the total moment, μB per formula unit: 2.98
Volume, A^3/atom: 45.31
Space-group type: No. 149

```
CsRbTcBr6
1.0
8.1273 0.0001 -0.0001
4.0638 7.0385 0.0002
0.0000 -0.0002 7.1291
Br Rb Tc Cs
6 1 1 1
Direct
0.0793 0.3335 0.2916
0.3335 0.5871 0.2916
0.5871 0.0793 0.2916
0.3335 0.0794 0.7084
0.5871 0.3335 0.7084
0.0793 0.5871 0.7084
0.6666 0.6667 0.5000
0.3333 0.3333 0.5000
0.0000 0.0000 0.0000
```

No. 5
Compound: K2In2Sb3
Source: the Alexandria database
Functional: PBE
Structure: optimized geometry

Output
E, Ry per atom: -0.2367
ρ, Mg/m³: 4.38
Offset from the most stable computed form, eV/atom: 0.000
Size of the total moment, μB per formula unit: 0.00
Volume, A^3/atom: 36.46
Space-group type: No. 14

```
K2In2Sb3
1.0
-0.3189 -5.3989 -5.4864
5.6295 -10.4942 9.9998
-15.9149 -3.8611 4.7245
Sb In K
24 16 16
Direct
0.5326 0.5217 0.8424
0.4361 0.6664 0.3969
0.7880 0.7502 0.1776
0.8361 0.2501 0.8273
0.2120 0.2498 0.8224
0.2880 0.2498 0.3224
0.5365 0.0253 0.6677
0.9361 0.3336 0.1031
0.9635 0.0253 0.1677
0.7120 0.7502 0.6776
0.0639 0.6664 0.8969
0.5551 0.8390 0.9124
0.4635 0.9747 0.3323
0.0326 0.4783 0.6576
0.3361 0.7499 0.6727
0.9449 0.8390 0.4124
0.0551 0.1610 0.5876
0.5639 0.3336 0.6031
0.6639 0.2501 0.3273
0.4449 0.1610 0.0876
0.0365 0.9747 0.8323
0.1639 0.7499 0.1727
0.4674 0.4783 0.1576
0.9674 0.5217 0.3424
0.2803 0.3161 0.1642
0.7639 0.4077 0.2408
0.2127 0.0924 0.7286
0.7361 0.4077 0.7408
0.2197 0.3161 0.6642
0.2639 0.5923 0.2592
0.7197 0.6839 0.8358
0.7803 0.6839 0.3358
0.2361 0.5923 0.7592
0.7621 0.1829 0.1728
0.7379 0.1829 0.6728
0.7127 0.9076 0.7714
0.2621 0.8171 0.3272
0.2379 0.8171 0.8272
0.7873 0.9076 0.2714
0.2873 0.0924 0.2286
0.9650 0.0783 0.3866
0.9648 0.8574 0.0082
0.0530 0.6540 0.5224
0.9470 0.3460 0.4776
0.0352 0.1426 0.9918
0.4650 0.9217 0.1134
0.5350 0.0783 0.8866
0.0350 0.9217 0.6134
0.4648 0.1426 0.4918
0.0557 0.4415 0.8964
0.5352 0.8574 0.5082
0.4470 0.6540 0.0224
0.5557 0.5585 0.6036
0.5530 0.3460 0.9776
0.9443 0.5585 0.1036
0.4443 0.4415 0.3964
```

No. 6
Compound: FeSe2N2
Source: the Alexandria database
Functional: PBE
Structure: optimized geometry

Output
E, Ry per atom: -0.3722
ρ, Mg/m³: 5.24
Offset from the most stable computed form, eV/atom: 1.486
Size of the total moment, μB per formula unit: 0.23
Volume, A^3/atom: 15.32
Space-group type: No. 123

```
FeSe2N2
1.0
-2.1065 1.5465 3.9937
-3.9681 -2.3790 -1.1718
1.1354 -2.7047 1.6462
Se Fe N
2 1 2
Direct
0.5000 0.0000 0.0000
0.0000 0.5000 0.0000
0.0000 0.0000 0.0000
0.5000 0.5000 0.5000
0.0000 0.0000 0.5000
```

Number 4 is which compound? CsRbTcBr6

Look up the E of the sixth one. -0.3722 Ry per atom